Compound: HoHS
Source: Alexandria
Functional: PBE-GGA
Structure: relaxed

The structure belongs to space group Pm (No. 6); the cell edges are 3.8280, 3.4194 and 6.2663 Å and the angles 90.00°, 106.54° and 90.00°. Symmetry generates all atoms from Ho at (0.0000, 0.0000, 0.0000), H at (0.8983, 0.5000, 0.7820) and S at (0.5719, 0.5000, 0.1545).

For the final energy, the calculation gives -5.11 eV/atom. The calculation puts the magnetic moment at 0.00 μB/cell. The density comes out at 4.2 g cm⁻³. The calculation puts the calculated volume at 26.2 A^3/atom.